Computed, not measured: a geometry-optimized Ag2MoO5 structure at the GGA+U level of DFT.

Computed properties:
total DFT energy (no corrections)	-5.4553	eV/atom
total magnetic moment	0.0	Bohr magnetons per cell
space-group type	C2/c (15)
ΔE to the lowest computed polymorph	0.00	eV/f.u.

Cell lengths 7.960, 8.259, 9.994 Å; angles 70.48, 66.53, 61.19 degrees
Element x y z (fractional)
O (0.391, 0.145, 0.880)
O (0.589, 0.393, 0.885)
Ag (0.740, 0.564, 0.171)
O (0.867, 0.107, 0.615)
O (0.039, 0.014, 0.845)
O (0.691, 0.999, 0.454)
O (0.897, 0.486, 0.655)
Ag (0.475, 0.936, 0.329)
Ag (0.725, 0.415, 0.535)
Ag (0.325, 0.915, 0.035)
Mo (0.091, 0.957, 0.674)
O (0.961, 0.986, 0.155)
Ag (0.525, 0.064, 0.671)
O (0.448, 0.209, 0.206)
O (0.863, 0.291, 0.294)
Mo (0.909, 0.043, 0.326)
O (0.609, 0.855, 0.120)
O (0.103, 0.514, 0.345)
O (0.552, 0.791, 0.794)
Ag (0.675, 0.085, 0.965)
O (0.309, 0.001, 0.546)
O (0.144, 0.501, 0.046)
Ag (0.275, 0.585, 0.465)
Mo (0.722, 0.543, 0.826)
O (0.416, 0.355, 0.620)
O (0.856, 0.499, 0.954)
O (0.137, 0.709, 0.706)
Mo (0.278, 0.457, 0.174)
O (0.411, 0.607, 0.115)
O (0.133, 0.893, 0.385)
O (0.584, 0.645, 0.380)
Ag (0.260, 0.436, 0.829)